[1]
The following is a DFT calculation (PBE-GGA) of Li6Cd12Ag after structural relaxation.

Space group   R-3, No. 148
Formation energy   -3.51 eV/f.u.
Raw total energy   -28.83 eV for the cell shown

Cell lengths 7.2225, 7.2225, 7.2225 Å; angles 90.25, 90.25, 90.25 degrees
Atoms (fractional coordinates):
Cd (0.4313, 0.8043, 0.5275)
Cd (0.1542, 0.3732, 0.0298)
Cd (0.1957, 0.4725, 0.5687)
Ag (0.0000, 0.0000, 0.0000)
Cd (0.5275, 0.4313, 0.8043)
Li (0.2665, 0.7322, 0.8879)
Cd (0.8458, 0.6268, 0.9702)
Cd (0.4725, 0.5687, 0.1957)
Cd (0.9702, 0.8458, 0.6268)
Li (0.2678, 0.1121, 0.7335)
Li (0.7335, 0.2678, 0.1121)
Li (0.7322, 0.8879, 0.2665)
Cd (0.3732, 0.0298, 0.1542)
Cd (0.8043, 0.5275, 0.4313)
Li (0.8879, 0.2665, 0.7322)
Cd (0.0298, 0.1542, 0.3732)
Cd (0.6268, 0.9702, 0.8458)
Li (0.1121, 0.7335, 0.2678)
Cd (0.5687, 0.1957, 0.4725)

***

[2]
The following is a DFT calculation (PBE-GGA) of LiCd2Ag2 after structural relaxation.

Space group   C2/c, No. 15
Formation energy   -0.61 eV/f.u.
ΔE to the lowest computed polymorph   0.16 eV/f.u.
Raw total energy   -20.12 eV for the cell shown

Cell lengths 5.3307, 4.8474, 9.1095 Å; angles 121.33, 107.01, 90.00 degrees
Atoms (fractional coordinates):
Li (0.3255, 0.2500, 0.0000)
Ag (0.2544, 0.9467, 0.1943)
Cd (0.8553, 0.1362, 0.3855)
Ag (0.0601, 0.5533, 0.8057)
Cd (0.5302, 0.6362, 0.3855)
Cd (0.4698, 0.3638, 0.6145)
Cd (0.1447, 0.8638, 0.6145)
Li (0.6745, 0.7500, 0.0000)
Ag (0.7456, 0.0533, 0.8057)
Ag (0.9399, 0.4467, 0.1943)

***

[3]
The following is a DFT calculation (PBE-GGA) of Li3CdAg after structural relaxation.

Space group   Pm-3m, No. 221
Formation energy   0.40 eV/f.u.
ΔE to the lowest computed polymorph   1.43 eV/f.u.
Raw total energy   -9.11 eV for the cell shown

Cell lengths 4.8691, 4.8691, 4.8691 Å; angles 90.00, 90.00, 90.00 degrees
Atoms (fractional coordinates):
Cd (0.5000, 0.5000, 0.5000)
Li (0.0000, 0.5000, 0.0000)
Li (0.0000, 0.0000, 0.5000)
Ag (0.0000, 0.0000, 0.0000)
Li (0.5000, 0.0000, 0.0000)

***

[4]
The following is a DFT calculation (PBE-GGA) of Li2CdAg7 after structural relaxation.

Space group   Cmmm, No. 65
Formation energy   2.21 eV/f.u.
Raw total energy   -22.49 eV for the cell shown

Cell lengths 4.3618, 7.6913, 7.6913 Å; angles 121.78, 90.00, 90.00 degrees
Atoms (fractional coordinates):
Li (0.5000, 0.6962, 0.3038)
Ag (0.0000, 0.2083, 0.7917)
Ag (0.0000, 0.7917, 0.2083)
Ag (0.5000, 0.3012, 0.0742)
Cd (0.0000, 0.0000, 0.0000)
Ag (0.5000, 0.0742, 0.3012)
Li (0.5000, 0.3038, 0.6962)
Ag (0.5000, 0.5000, 0.5000)
Ag (0.5000, 0.6988, 0.9258)
Ag (0.5000, 0.9258, 0.6988)

***

[5]
The following is a DFT calculation (PBE-GGA) of Li6CdAg12 after structural relaxation.

Space group   R-3, No. 148
Formation energy   -1.66 eV/f.u.
ΔE to the lowest computed polymorph   0.00 eV/f.u.
Raw total energy   -48.27 eV for the cell shown

Cell lengths 6.9326, 6.9326, 6.9326 Å; angles 89.23, 89.23, 89.23 degrees
Atoms (fractional coordinates):
Ag (0.1979, 0.5657, 0.4733)
Li (0.8842, 0.7246, 0.2804)
Ag (0.4343, 0.5267, 0.8021)
Cd (0.0000, 0.0000, 0.0000)
Li (0.1158, 0.2754, 0.7196)
Ag (0.9768, 0.6271, 0.8382)
Li (0.2754, 0.7196, 0.1158)
Li (0.7196, 0.1158, 0.2754)
Ag (0.0232, 0.3729, 0.1618)
Ag (0.8021, 0.4343, 0.5267)
Ag (0.5657, 0.4733, 0.1979)
Ag (0.6271, 0.8382, 0.9768)
Ag (0.3729, 0.1618, 0.0232)
Ag (0.8382, 0.9768, 0.6271)
Ag (0.5267, 0.8021, 0.4343)
Ag (0.1618, 0.0232, 0.3729)
Ag (0.4733, 0.1979, 0.5657)
Li (0.7246, 0.2804, 0.8842)
Li (0.2804, 0.8842, 0.7246)

***

[6]
The following is a DFT calculation (PBE-GGA) of Li7Cd2Ag after structural relaxation.

Space group   Fm-3m, No. 225
Formation energy   1.70 eV/f.u.
ΔE to the lowest computed polymorph   2.74 eV/f.u.
Raw total energy   -16.38 eV for the cell shown

Cell lengths 6.8021, 6.8021, 6.8021 Å; angles 60.00, 60.00, 60.00 degrees
Atoms (fractional coordinates):
Cd (0.2500, 0.2500, 0.2500)
Li (0.7492, 0.2508, 0.7492)
Li (0.7492, 0.7492, 0.2508)
Li (0.2508, 0.7492, 0.7492)
Li (0.7492, 0.2508, 0.2508)
Li (0.2508, 0.2508, 0.7492)
Ag (0.0000, 0.0000, 0.0000)
Cd (0.7500, 0.7500, 0.7500)
Li (0.2508, 0.7492, 0.2508)
Li (0.5000, 0.5000, 0.5000)

***

[7]
The following is a DFT calculation (PBE-GGA) of Li4Cd2Ag after structural relaxation.

Space group   I-42d, No. 122
Formation energy   -0.85 eV/f.u.
ΔE to the lowest computed polymorph   0.00 eV/f.u.
Raw total energy   -26.37 eV for the cell shown

Cell lengths 6.9838, 6.9838, 6.9838 Å; angles 109.28, 109.86, 109.28 degrees
Atoms (fractional coordinates):
Li (0.1082, 0.8967, 0.3634)
Li (0.2833, 0.2448, 0.8866)
Li (0.9615, 0.6033, 0.7167)
Ag (0.0000, 0.0000, 0.0000)
Cd (0.4896, 0.3646, 0.6250)
Li (0.4667, 0.1033, 0.2115)
Li (0.1134, 0.3967, 0.3582)
Cd (0.2604, 0.6354, 0.1250)
Li (0.7885, 0.2552, 0.8918)
Li (0.6366, 0.7448, 0.5333)
Cd (0.8750, 0.1354, 0.5104)
Cd (0.3750, 0.8646, 0.7396)
Li (0.6418, 0.7552, 0.0385)
Ag (0.7500, 0.5000, 0.2500)

***

[8]
The following is a DFT calculation (PBE-GGA) of Li2Cd4Ag after structural relaxation.

Space group   P2_1/c, No. 14
Formation energy   -0.79 eV/f.u.
ΔE to the lowest computed polymorph   0.08 eV/f.u.
Raw total energy   -22.27 eV for the cell shown

Cell lengths 9.6249, 5.5610, 5.4009 Å; angles 89.86, 90.00, 90.00 degrees
Atoms (fractional coordinates):
Li (0.0038, 0.4994, 0.2487)
Cd (0.7499, 0.2495, 0.0099)
Cd (0.2501, 0.7505, 0.9901)
Cd (0.1600, 0.0012, 0.4933)
Cd (0.2499, 0.2505, 0.9901)
Li (0.9962, 0.5006, 0.7513)
Cd (0.6600, 0.4988, 0.5067)
Li (0.4962, 0.9994, 0.2487)
Ag (0.5000, 0.5000, 0.0000)
Li (0.5038, 0.0006, 0.7513)
Cd (0.7501, 0.7495, 0.0099)
Cd (0.3400, 0.5012, 0.4933)
Cd (0.8400, 0.9988, 0.5067)
Ag (0.0000, 0.0000, 0.0000)